(1)
GaNiAsBr2 | GGA-PBE | optimized geometry

Lattice parameters (Å, degrees): 5.2797 5.2797 4.4496 90.00 90.00 90.00
Last column: magnetic moment on the atom in μB.
Positions (direct):
1 As 0.0000 0.0000 0.5000  0.15
2 Ni 0.0000 0.0000 0.0000  0.09
3 Br 0.0000 0.5000 0.0000  0.03
4 Br 0.5000 0.0000 0.0000  0.03
5 Ga 0.5000 0.5000 0.5000  0.01

Values from the calculation:
* space group: P4/mmm, No. 123
* raw formation energy: 69 meV/atom
* excess energy over the best structure of this formula in the dataset: 0 meV/atom

---

(2)
GaAs2BrO | GGA-PBE | optimized geometry

Lattice parameters (Å, degrees): 5.0128 5.0128 5.0773 90.00 90.00 90.00
Last column: magnetic moment on the atom in μB.
Positions (direct):
1 O 0.5000 0.5000 0.5000  1.14
2 As 0.5000 0.0000 0.0000  -0.29
3 As 0.0000 0.5000 0.0000  -0.29
4 Ga 0.0000 0.0000 0.0000  0.01
5 Br 0.0000 0.0000 0.5000  -0.11

Values from the calculation:
* space group: P4/mmm, No. 123
* raw formation energy: 954 meV/atom
* excess energy over the best structure of this formula in the dataset: 857 meV/atom

---

(3)
GaAs2BrO | GGA-PBE | optimized geometry

Lattice parameters (Å, degrees): 4.1746 4.1746 6.7496 90.00 90.00 90.00
Positions (direct):
1 Br 0.0000 0.0000 0.5000
2 Ga 0.5000 0.5000 0.5000
3 As 0.0000 0.5000 0.0000
4 As 0.5000 0.0000 0.0000
5 O 0.0000 0.0000 0.0000

Values from the calculation:
* space group: P4/mmm, No. 123
* raw formation energy: 97 meV/atom
* excess energy over the best structure of this formula in the dataset: 0 meV/atom

---

(4)
GaAsBr2O | GGA-PBE | optimized geometry

Lattice parameters (Å, degrees): 6.0859 6.0859 3.6753 90.00 90.00 90.00
Positions (direct):
1 Br 0.0000 0.5000 0.0000
2 Br 0.5000 0.0000 0.0000
3 As 0.0000 0.0000 0.5000
4 Ga 0.5000 0.5000 0.5000
5 O 0.0000 0.0000 0.0000

Values from the calculation:
* space group: P4/mmm, No. 123
* raw formation energy: 24 meV/atom
* excess energy over the best structure of this formula in the dataset: 0 meV/atom

---

(5)
GaAsBr2O | GGA-PBE | optimized geometry

Lattice parameters (Å, degrees): 5.1264 5.1264 5.2181 90.00 90.00 90.00
Last column: magnetic moment on the atom in μB.
Positions (direct):
1 Br 0.0000 0.5000 0.0000  -0.03
2 Br 0.5000 0.0000 0.0000  -0.03
3 As 0.0000 0.0000 0.5000  -0.60
4 O 0.5000 0.5000 0.5000  1.28
5 Ga 0.0000 0.0000 0.0000  0.00

Values from the calculation:
* space group: P4/mmm, No. 123
* raw formation energy: 610 meV/atom
* excess energy over the best structure of this formula in the dataset: 586 meV/atom

---

(6)
GaAs2OsBr | GGA-PBE | optimized geometry

Lattice parameters (Å, degrees): 4.8946 4.8946 4.8809 90.00 90.00 90.00
Last column: magnetic moment on the atom in μB.
Positions (direct):
1 Os 0.5000 0.5000 0.5000  2.38
2 Ga 0.0000 0.0000 0.0000  -0.01
3 As 0.0000 0.5000 0.0000  -0.12
4 As 0.5000 0.0000 0.0000  -0.12
5 Br 0.0000 0.0000 0.5000  0.05

Values from the calculation:
* space group: P4/mmm, No. 123
* raw formation energy: 1480 meV/atom
* excess energy over the best structure of this formula in the dataset: 1052 meV/atom

---

(7)
GaAs2OsBr | GGA-PBE | optimized geometry

Lattice parameters (Å, degrees): 4.7210 4.7210 5.7386 90.00 90.00 90.00
Positions (direct):
1 Ga 0.5000 0.5000 0.5000
2 As 0.0000 0.5000 0.0000
3 As 0.5000 0.0000 0.0000
4 Os 0.0000 0.0000 0.0000
5 Br 0.0000 0.0000 0.5000

Values from the calculation:
* space group: P4/mmm, No. 123
* raw formation energy: 428 meV/atom
* excess energy over the best structure of this formula in the dataset: 0 meV/atom

---

(8)
GaAs2PdBr | GGA-PBE | optimized geometry

Lattice parameters (Å, degrees): 4.9013 4.9013 5.0996 90.00 90.00 90.00
Positions (direct):
1 As 0.0000 0.5000 0.0000
2 As 0.5000 0.0000 0.0000
3 Pd 0.5000 0.5000 0.5000
4 Br 0.0000 0.0000 0.5000
5 Ga 0.0000 0.0000 0.0000

Values from the calculation:
* space group: P4/mmm, No. 123
* raw formation energy: 713 meV/atom
* excess energy over the best structure of this formula in the dataset: 405 meV/atom

---

(9)
GaAsPdBr2 | GGA-PBE | optimized geometry

Lattice parameters (Å, degrees): 5.4440 5.4440 4.7183 90.00 90.00 90.00
Last column: magnetic moment on the atom in μB.
Positions (direct):
1 Pd 0.0000 0.0000 0.0000  0.01
2 As 0.0000 0.0000 0.5000  0.11
3 Ga 0.5000 0.5000 0.5000  0.01
4 Br 0.5000 0.0000 0.0000  0.02
5 Br 0.0000 0.5000 0.0000  0.02

Values from the calculation:
* space group: P4/mmm, No. 123
* raw formation energy: 67 meV/atom
* excess energy over the best structure of this formula in the dataset: 0 meV/atom

---

(10)
GaAsPdBr2 | GGA-PBE | optimized geometry

Lattice parameters (Å, degrees): 5.1496 5.1496 5.0340 90.00 90.00 90.00
Last column: magnetic moment on the atom in μB.
Positions (direct):
1 Br 0.0000 0.5000 0.0000  0.07
2 Br 0.5000 0.0000 0.0000  0.07
3 Pd 0.5000 0.5000 0.5000  0.15
4 Ga 0.0000 0.0000 0.0000  0.00
5 As 0.0000 0.0000 0.5000  0.42

Values from the calculation:
* space group: P4/mmm, No. 123
* raw formation energy: 469 meV/atom
* excess energy over the best structure of this formula in the dataset: 403 meV/atom

---

(11)
GaAs2PdBr | GGA-PBE | optimized geometry

Lattice parameters (Å, degrees): 4.6674 4.6674 7.5140 90.00 90.00 90.00
Positions (direct):
1 As 0.5000 0.0000 0.0000
2 As 0.0000 0.5000 0.0000
3 Pd 0.0000 0.0000 0.0000
4 Br 0.0000 0.0000 0.5000
5 Ga 0.5000 0.5000 0.5000

Values from the calculation:
* space group: P4/mmm, No. 123
* raw formation energy: 308 meV/atom
* excess energy over the best structure of this formula in the dataset: 0 meV/atom

---

(12)
Pr8Ga3AsBr4 | GGA-PBE | optimized geometry

Lattice parameters (Å, degrees): 8.7102 8.8231 8.7100 119.57 120.00 90.00
Positions (direct):
1 Pr 0.7414 0.7242 0.4828
2 Pr 0.7389 0.7205 0.9797
3 Pr 0.7592 0.2795 0.0203
4 Pr 0.2408 0.7205 0.4816
5 Pr 0.2586 0.2758 0.5172
6 Pr 0.2408 0.7205 0.9797
7 Pr 0.7592 0.2795 0.5184
8 Pr 0.2611 0.2795 0.0203
9 As 0.0000 0.5000 0.0000
10 Br 0.0000 0.0000 0.0000
11 Br 0.0000 0.0000 0.5000
12 Br 0.5000 0.0000 0.0000
13 Br 0.5000 0.0000 0.5000
14 Ga 0.0000 0.5000 0.5000
15 Ga 0.5000 0.5000 0.5000
16 Ga 0.5000 0.5000 0.0000

Values from the calculation:
* space group: R-3m, No. 166
* raw formation energy: -1047 meV/atom

---

(13)
Pr6Ga2AsBr3 | GGA-PBE | optimized geometry

Lattice parameters (Å, degrees): 7.5376 7.5376 7.6887 99.36 99.36 120.08
Positions (direct):
1 Ga 0.6670 0.3330 0.0000
2 Ga 0.3330 0.6670 0.0000
3 Br 0.5000 0.5000 0.5000
4 Br 0.1667 0.8333 0.5000
5 Br 0.8333 0.1667 0.5000
6 Pr 0.5932 0.9269 0.7800
7 Pr 0.4068 0.0731 0.2200
8 Pr 0.9269 0.5932 0.7800
9 Pr 0.0731 0.4068 0.2200
10 Pr 0.7385 0.7385 0.2187
11 Pr 0.2615 0.2615 0.7813
12 As 0.0000 0.0000 0.0000

Values from the calculation:
* space group: C2/m, No. 12
* raw formation energy: -1097 meV/atom

---

(14)
GaAsPtBr2 | GGA-PBE | optimized geometry

Lattice parameters (Å, degrees): 5.4850 5.4850 4.6974 90.00 90.00 90.00
Positions (direct):
1 Br 0.5000 0.0000 0.0000
2 Br 0.0000 0.5000 0.0000
3 Ga 0.5000 0.5000 0.5000
4 Pt 0.0000 0.0000 0.0000
5 As 0.0000 0.0000 0.5000

Values from the calculation:
* space group: P4/mmm, No. 123
* raw formation energy: 84 meV/atom
* excess energy over the best structure of this formula in the dataset: 31 meV/atom

---

(15)
GaAsPtBr2 | GGA-PBE | optimized geometry

Lattice parameters (Å, degrees): 5.5573 4.6589 5.5573 90.00 90.00 90.00
Positions (direct):
1 Pt 0.0000 0.5000 0.0000
2 As 0.0000 0.0000 0.0000
3 Ga 0.5000 0.5000 0.5000
4 Br 0.0000 0.0000 0.5000
5 Br 0.5000 0.0000 0.0000

Values from the calculation:
* space group: P4/mmm, No. 123
* raw formation energy: 53 meV/atom
* excess energy over the best structure of this formula in the dataset: 0 meV/atom

---

(16)
GaAsPtBr2 | GGA-PBE | optimized geometry

Lattice parameters (Å, degrees): 4.9239 4.9239 5.2622 90.00 90.00 90.00
Last column: magnetic moment on the atom in μB.
Positions (direct):
1 Br 0.5000 0.0000 0.0000  0.06
2 Br 0.0000 0.5000 0.0000  0.06
3 Ga 0.0000 0.0000 0.0000  0.00
4 Pt 0.5000 0.5000 0.5000  0.47
5 As 0.0000 0.0000 0.5000  0.14

Values from the calculation:
* space group: P4/mmm, No. 123
* raw formation energy: 741 meV/atom
* excess energy over the best structure of this formula in the dataset: 688 meV/atom

---

(17)
GaReAs2Br | GGA-PBE | optimized geometry

Lattice parameters (Å, degrees): 4.7541 4.7541 5.6996 90.00 90.00 90.00
Positions (direct):
1 As 0.5000 0.0000 0.0000
2 As 0.0000 0.5000 0.0000
3 Re 0.0000 0.0000 0.0000
4 Br 0.0000 0.0000 0.5000
5 Ga 0.5000 0.5000 0.5000

Values from the calculation:
* space group: P4/mmm, No. 123
* raw formation energy: 374 meV/atom
* excess energy over the best structure of this formula in the dataset: 0 meV/atom

---

(18)
GaReAsBr2 | GGA-PBE | optimized geometry

Lattice parameters (Å, degrees): 5.3536 5.3536 4.7473 90.00 90.00 90.00
Last column: magnetic moment on the atom in μB.
Positions (direct):
1 Br 0.0000 0.5000 0.0000  0.03
2 Br 0.5000 0.0000 0.0000  0.03
3 As 0.0000 0.0000 0.5000  -0.04
4 Ga 0.5000 0.5000 0.5000  0.01
5 Re 0.0000 0.0000 0.0000  0.92

Values from the calculation:
* space group: P4/mmm, No. 123
* raw formation energy: 402 meV/atom
* excess energy over the best structure of this formula in the dataset: 0 meV/atom

---

(19)
GaReAsBr2 | GGA-PBE | optimized geometry

Lattice parameters (Å, degrees): 5.0365 5.0365 5.2720 90.00 90.00 90.00
Last column: magnetic moment on the atom in μB.
Positions (direct):
1 Br 0.5000 0.0000 0.0000  0.03
2 Br 0.0000 0.5000 0.0000  0.03
3 Re 0.5000 0.5000 0.5000  4.02
4 As 0.0000 0.0000 0.5000  -0.29
5 Ga 0.0000 0.0000 0.0000  -0.01

Values from the calculation:
* space group: P4/mmm, No. 123
* raw formation energy: 1154 meV/atom
* excess energy over the best structure of this formula in the dataset: 752 meV/atom

---

(20)
GaReAs2Br | GGA-PBE | optimized geometry

Lattice parameters (Å, degrees): 4.9400 4.9400 4.9548 90.00 90.00 90.00
Last column: magnetic moment on the atom in μB.
Positions (direct):
1 As 0.5000 0.0000 0.0000  -0.24
2 As 0.0000 0.5000 0.0000  -0.24
3 Ga 0.0000 0.0000 0.0000  -0.01
4 Br 0.0000 0.0000 0.5000  0.01
5 Re 0.5000 0.5000 0.5000  3.53

Values from the calculation:
* space group: P4/mmm, No. 123
* raw formation energy: 1403 meV/atom
* excess energy over the best structure of this formula in the dataset: 1029 meV/atom

---

(21)
GaAsRhBr2 | GGA-PBE | optimized geometry

Lattice parameters (Å, degrees): 5.3989 5.3989 4.6079 90.00 90.00 90.00
Positions (direct):
1 Br 0.5000 0.0000 0.0000
2 Br 0.0000 0.5000 0.0000
3 As 0.0000 0.0000 0.5000
4 Ga 0.5000 0.5000 0.5000
5 Rh 0.0000 0.0000 0.0000

Values from the calculation:
* space group: P4/mmm, No. 123
* raw formation energy: 18 meV/atom
* excess energy over the best structure of this formula in the dataset: 0 meV/atom

---

(22)
GaAsRhBr2 | GGA-PBE | optimized geometry

Lattice parameters (Å, degrees): 5.0629 5.0629 5.0165 90.00 90.00 90.00
Last column: magnetic moment on the atom in μB.
Positions (direct):
1 Ga 0.0000 0.0000 0.0000  -0.01
2 Br 0.5000 0.0000 0.0000  0.03
3 Br 0.0000 0.5000 0.0000  0.03
4 As 0.0000 0.0000 0.5000  0.00
5 Rh 0.5000 0.5000 0.5000  1.21

Values from the calculation:
* space group: P4/mmm, No. 123
* raw formation energy: 760 meV/atom
* excess energy over the best structure of this formula in the dataset: 742 meV/atom

---

(23)
GaAs2RuBr | GGA-PBE | optimized geometry

Lattice parameters (Å, degrees): 4.8749 4.8749 5.0638 90.00 90.00 90.00
Last column: magnetic moment on the atom in μB.
Positions (direct):
1 Ga 0.0000 0.0000 0.0000  -0.01
2 Ru 0.5000 0.5000 0.5000  2.27
3 As 0.0000 0.5000 0.0000  -0.10
4 As 0.5000 0.0000 0.0000  -0.10
5 Br 0.0000 0.0000 0.5000  0.03

Values from the calculation:
* space group: P4/mmm, No. 123
* raw formation energy: 1140 meV/atom
* excess energy over the best structure of this formula in the dataset: 869 meV/atom

---

(24)
GaAs2RuBr | GGA-PBE | optimized geometry

Lattice parameters (Å, degrees): 4.7102 4.7102 5.6871 90.00 90.00 90.00
Positions (direct):
1 As 0.5000 0.0000 0.0000
2 As 0.0000 0.5000 0.0000
3 Ga 0.5000 0.5000 0.5000
4 Ru 0.0000 0.0000 0.0000
5 Br 0.0000 0.0000 0.5000

Values from the calculation:
* space group: P4/mmm, No. 123
* raw formation energy: 272 meV/atom
* excess energy over the best structure of this formula in the dataset: 0 meV/atom

---

(25)
GaAsSBr2 | GGA-PBE | optimized geometry

Lattice parameters (Å, degrees): 5.4354 5.4354 4.8076 90.00 90.00 90.00
Positions (direct):
1 Br 0.5000 0.0000 0.0000
2 Br 0.0000 0.5000 0.0000
3 S 0.0000 0.0000 0.0000
4 As 0.0000 0.0000 0.5000
5 Ga 0.5000 0.5000 0.5000

Values from the calculation:
* space group: P4/mmm, No. 123
* raw formation energy: 338 meV/atom
* excess energy over the best structure of this formula in the dataset: 0 meV/atom

---

(26)
GaAs2SBr | GGA-PBE | optimized geometry

Lattice parameters (Å, degrees): 4.8708 4.8708 5.4996 90.00 90.00 90.00
Last column: magnetic moment on the atom in μB.
Positions (direct):
1 Br 0.0000 0.0000 0.5000  0.10
2 S 0.0000 0.0000 0.0000  0.01
3 As 0.0000 0.5000 0.0000  0.20
4 As 0.5000 0.0000 0.0000  0.20
5 Ga 0.5000 0.5000 0.5000  0.01

Values from the calculation:
* space group: P4/mmm, No. 123
* raw formation energy: 569 meV/atom
* excess energy over the best structure of this formula in the dataset: 0 meV/atom

---

(27)
GaAsSBr2 | GGA-PBE | optimized geometry

Lattice parameters (Å, degrees): 4.9021 4.9021 5.4643 90.00 90.00 90.00
Positions (direct):
1 S 0.5000 0.5000 0.5000
2 Br 0.0000 0.5000 0.0000
3 Br 0.5000 0.0000 0.0000
4 As 0.0000 0.0000 0.5000
5 Ga 0.0000 0.0000 0.0000

Values from the calculation:
* space group: P4/mmm, No. 123
* raw formation energy: 509 meV/atom
* excess energy over the best structure of this formula in the dataset: 170 meV/atom

---

(28)
GaAs2SBr | GGA-PBE | optimized geometry

Lattice parameters (Å, degrees): 5.0452 5.0452 4.8791 90.00 90.00 90.00
Last column: magnetic moment on the atom in μB.
Positions (direct):
1 Br 0.0000 0.0000 0.5000  0.02
2 S 0.5000 0.5000 0.5000  -0.07
3 As 0.5000 0.0000 0.0000  0.11
4 As 0.0000 0.5000 0.0000  0.11
5 Ga 0.0000 0.0000 0.0000  0.00

Values from the calculation:
* space group: P4/mmm, No. 123
* raw formation energy: 756 meV/atom
* excess energy over the best structure of this formula in the dataset: 186 meV/atom

---

| no. | N(E_F) (states/eV per cell) |
| --- | --- |
| 1 | 3.68 |
| 2 | 5.58 |
| 3 | 3.77 |
| 4 | 4.65 |
| 5 | 3.30 |
| 6 | 3.82 |
| 7 | 3.93 |
| 8 | 3.53 |
| 9 | 3.34 |
| 10 | 3.77 |
| 11 | 2.13 |
| 12 | 7.81 |
| 13 | 4.59 |
| 14 | 2.55 |
| 15 | 1.10 |
| 16 | 3.54 |
| 17 | 1.65 |
| 18 | 3.60 |
| 19 | 1.74 |
| 20 | 2.32 |
| 21 | 1.66 |
| 22 | 9.36 |
| 23 | 4.66 |
| 24 | 4.14 |
| 25 | 2.52 |
| 26 | 3.49 |
| 27 | 5.30 |
| 28 | 4.06 |